Record 1
DFT (PBE-GGA) results for an optimized crystal structure of Tb2ErPdPt2Pb3.

Cell: 3.946 7.759 7.759 Å, 119.79 90.00 90.00°
Element x y z (fractional)
Tb 0.000 0.203 0.797
Tb 0.000 0.797 0.203
Er 0.000 0.389 0.389
Pd 0.000 0.794 0.794
Pt 0.500 0.133 0.463
Pt 0.500 0.463 0.133
Pb 0.500 0.058 0.058
Pb 0.500 0.535 0.797
Pb 0.500 0.797 0.535

- SG: Amm2, No. 38


Record 2
DFT (PBE-GGA) results for an optimized crystal structure of NaCuAs2Pd.

Cell: 6.222 6.222 6.222 Å, 141.17 141.17 56.08°
Element x y z (fractional)
Na 0.000 0.000 0.000
Cu 0.750 0.250 0.500
As 0.376 0.376 0.000
As 0.624 0.624 0.000
Pd 0.250 0.750 0.500

- SG: I-4m2, No. 119


Record 3
DFT (PBE-GGA) results for an optimized crystal structure of KHoTmNi2.

Cell: 3.651 9.104 9.104 Å, 25.49 90.00 90.00°
Element x y z (fractional)
K 0.000 0.000 0.000
Ho 0.500 0.329 0.329
Tm 0.500 0.670 0.670
Ni 0.000 0.205 0.205
Ni 0.000 0.791 0.791

- SG: Amm2, No. 38


no.,calculated total energy (eV per cell)
1,-49.588
2,-20.984
3,-22.141